Sr2MgBiH: optimized geometry, PBE.

Total energy = -2.884 eV/atom
N(E_F) = 1.5 states/eV/cell

Cell lengths 5.378, 5.378, 4.706 Å; angles 90.00, 90.00, 90.00 degrees
Sites, in units of the cell vectors:
Sr 0.000 0.500 0.000
Sr 0.500 0.000 0.000
Mg 0.000 0.000 0.500
Bi 0.500 0.500 0.500
H 0.000 0.000 0.000


Sr2Mg4Bi3H2: optimized geometry, PBE.

Total energy = -2.950 eV/atom
N(E_F) = 3.8 states/eV/cell

Cell lengths 12.985, 12.985, 12.985 Å; angles 159.30, 159.30, 29.44 degrees
Sites, in units of the cell vectors:
Sr 0.192 0.192 0.000
Sr 0.808 0.808 0.000
Mg 0.081 0.581 0.500
Mg 0.419 0.919 0.500
Mg 0.581 0.081 0.500
Mg 0.919 0.419 0.500
Bi 0.333 0.333 0.000
Bi 0.500 0.500 0.000
Bi 0.667 0.667 0.000
H 0.089 0.089 0.000
H 0.911 0.911 0.000


MgTcBi2H: optimized geometry, PBE.

Total energy = -3.949 eV/atom
N(E_F) = 1.5 states/eV/cell

Cell lengths 5.184, 5.184, 5.173 Å; angles 90.00, 90.00, 90.00 degrees
Sites, in units of the cell vectors:
Mg 0.000 0.000 0.000
Tc 0.000 0.000 0.500
Bi 0.000 0.500 0.500
Bi 0.500 0.000 0.500
H 0.500 0.500 0.000


YMgBiH2: optimized geometry, PBE.

Total energy = -3.783 eV/atom
N(E_F) = 0.0 states/eV/cell

Cell lengths 4.231, 4.231, 6.050 Å; angles 90.00, 90.00, 90.00 degrees
Sites, in units of the cell vectors:
Y 0.000 0.000 0.000
Mg 0.500 0.500 0.500
Bi 0.500 0.500 0.000
H 0.000 0.500 0.500
H 0.500 0.000 0.500


Y2MgBiH: optimized geometry, PBE.

Total energy = -4.721 eV/atom
N(E_F) = 4.8 states/eV/cell

Cell lengths 4.868, 4.868, 4.596 Å; angles 90.00, 90.00, 90.00 degrees
Sites, in units of the cell vectors:
Y 0.000 0.500 0.000
Y 0.500 0.000 0.000
Mg 0.000 0.000 0.500
Bi 0.500 0.500 0.500
H 0.000 0.000 0.000


MgZr2BiH: optimized geometry, PBE.

Total energy = -5.376 eV/atom
ΔE to the lowest computed polymorph = 0 meV/atom
N(E_F) = 2.1 states/eV/cell

Cell lengths 4.411, 4.411, 4.779 Å; angles 90.00, 90.00, 90.00 degrees
Sites, in units of the cell vectors:
Mg 0.000 0.000 0.000
Zr 0.000 0.500 0.500
Zr 0.500 0.000 0.500
Bi 0.500 0.500 0.000
H 0.000 0.000 0.500


Mg2ZrBiH: optimized geometry, PBE.

Total energy = -3.870 eV/atom
N(E_F) = 3.5 states/eV/cell

Cell lengths 4.658, 4.658, 4.311 Å; angles 90.00, 90.00, 90.00 degrees
Sites, in units of the cell vectors:
Mg 0.000 0.500 0.000
Mg 0.500 0.000 0.000
Zr 0.000 0.000 0.500
Bi 0.500 0.500 0.500
H 0.000 0.000 0.000


Mn2BiH: optimized geometry, PBE.

Total energy = -5.574 eV/atom
ΔE to the lowest computed polymorph = 299 meV/atom
N(E_F) = 4.4 states/eV/cell

Cell lengths 4.549, 4.549, 4.549 Å; angles 60.00, 60.00, 60.00 degrees
Sites, in units of the cell vectors:
Mn 0.250 0.250 0.250
Mn 0.750 0.750 0.750
Bi 0.000 0.000 0.000
H 0.500 0.500 0.500


MnBiH: optimized geometry, PBE.

Total energy = -5.378 eV/atom
N(E_F) = 13.3 states/eV/cell

Cell lengths 4.550, 16.106, 5.507 Å; angles 90.00, 90.00, 90.00 degrees
Sites, in units of the cell vectors:
Mn 0.250 0.009 0.124
Mn 0.250 0.491 0.624
Mn 0.250 0.509 0.124
Mn 0.250 0.991 0.624
Mn 0.750 0.009 0.376
Mn 0.750 0.491 0.876
Mn 0.750 0.509 0.376
Mn 0.750 0.991 0.876
Bi 0.124 0.150 0.450
Bi 0.124 0.350 0.950
Bi 0.376 0.650 0.450
Bi 0.376 0.850 0.950
Bi 0.624 0.150 0.050
Bi 0.624 0.350 0.550
Bi 0.876 0.650 0.050
Bi 0.876 0.850 0.550
H 0.082 0.046 0.859
H 0.082 0.454 0.359
H 0.418 0.546 0.859
H 0.418 0.954 0.359
H 0.582 0.046 0.641
H 0.582 0.454 0.141
H 0.918 0.546 0.641
H 0.918 0.954 0.141


MnBi3H: optimized geometry, PBE.

Total energy = -3.985 eV/atom
ΔE to the lowest computed polymorph = 291 meV/atom
N(E_F) = 7.6 states/eV/cell

Cell lengths 5.098, 5.098, 5.098 Å; angles 90.00, 90.00, 90.00 degrees
Sites, in units of the cell vectors:
Mn 0.000 0.000 0.000
Bi 0.000 0.000 0.500
Bi 0.000 0.500 0.000
Bi 0.500 0.000 0.000
H 0.500 0.500 0.500


Mn3BiH: optimized geometry, PBE.

Total energy = -6.681 eV/atom
ΔE to the lowest computed polymorph = 0 meV/atom
N(E_F) = 2.4 states/eV/cell

Cell lengths 3.952, 3.952, 3.952 Å; angles 90.00, 90.00, 90.00 degrees
Sites, in units of the cell vectors:
Mn 0.000 0.000 0.500
Mn 0.000 0.500 0.000
Mn 0.500 0.000 0.000
Bi 0.500 0.500 0.500
H 0.000 0.000 0.000


Mn2BiH: optimized geometry, PBE.

Total energy = -5.873 eV/atom
ΔE to the lowest computed polymorph = 0 meV/atom
N(E_F) = 12.8 states/eV/cell

Cell lengths 5.927, 5.927, 5.927 Å; angles 134.09, 134.09, 66.95 degrees
Sites, in units of the cell vectors:
Mn 0.375 0.113 0.238
Mn 0.863 0.625 0.738
Mn 0.875 0.137 0.762
Mn 0.887 0.125 0.262
Bi 0.250 0.750 0.500
Bi 0.500 0.500 0.000
H 0.000 0.000 0.000
H 0.750 0.250 0.500


Copy entry 6 word for word.
MgZr2BiH: optimized geometry, PBE.

Total energy = -5.376 eV/atom
ΔE to the lowest computed polymorph = 0 meV/atom
N(E_F) = 2.1 states/eV/cell

Cell lengths 4.411, 4.411, 4.779 Å; angles 90.00, 90.00, 90.00 degrees
Sites, in units of the cell vectors:
Mg 0.000 0.000 0.000
Zr 0.000 0.500 0.500
Zr 0.500 0.000 0.500
Bi 0.500 0.500 0.000
H 0.000 0.000 0.500


Copy entry 9 word for word.
MnBiH: optimized geometry, PBE.

Total energy = -5.378 eV/atom
N(E_F) = 13.3 states/eV/cell

Cell lengths 4.550, 16.106, 5.507 Å; angles 90.00, 90.00, 90.00 degrees
Sites, in units of the cell vectors:
Mn 0.250 0.009 0.124
Mn 0.250 0.491 0.624
Mn 0.250 0.509 0.124
Mn 0.250 0.991 0.624
Mn 0.750 0.009 0.376
Mn 0.750 0.491 0.876
Mn 0.750 0.509 0.376
Mn 0.750 0.991 0.876
Bi 0.124 0.150 0.450
Bi 0.124 0.350 0.950
Bi 0.376 0.650 0.450
Bi 0.376 0.850 0.950
Bi 0.624 0.150 0.050
Bi 0.624 0.350 0.550
Bi 0.876 0.650 0.050
Bi 0.876 0.850 0.550
H 0.082 0.046 0.859
H 0.082 0.454 0.359
H 0.418 0.546 0.859
H 0.418 0.954 0.359
H 0.582 0.046 0.641
H 0.582 0.454 0.141
H 0.918 0.546 0.641
H 0.918 0.954 0.141


Copy entry 2 word for word.
Sr2Mg4Bi3H2: optimized geometry, PBE.

Total energy = -2.950 eV/atom
N(E_F) = 3.8 states/eV/cell

Cell lengths 12.985, 12.985, 12.985 Å; angles 159.30, 159.30, 29.44 degrees
Sites, in units of the cell vectors:
Sr 0.192 0.192 0.000
Sr 0.808 0.808 0.000
Mg 0.081 0.581 0.500
Mg 0.419 0.919 0.500
Mg 0.581 0.081 0.500
Mg 0.919 0.419 0.500
Bi 0.333 0.333 0.000
Bi 0.500 0.500 0.000
Bi 0.667 0.667 0.000
H 0.089 0.089 0.000
H 0.911 0.911 0.000


Q: Among the records above, which one has the highest N(E_F)?
A: MnBiH